VASP calculation (GGA-PBE) on a relaxed NbTcSn2 crystal.

For the calculated total energy, the calculation gives -0.5004 Ry per atom. Its magnetic moment is 0.032 μB per formula unit.

The space group is F-43m (No. 216) and the conventional cell measures 6.7792, 6.7792 and 6.7792 Å, with angles of 90.00, 90.00 and 90.00 degrees. The asymmetric unit holds Nb at (0.0000, 0.0000, 0.0000), Tc at (0.2500, 0.2500, 0.7500), Sn at (0.0000, 0.0000, 0.5000) and Sn at (0.2500, 0.2500, 0.2500).